Entry from the Alexandria database: a relaxed structure of SiPbS2 (PBE-GGA).

CIF file:
```
data_SiPbS2
_chemical_formula_sum 'Si4 Pb4 S8'
_cell_length_a 6.940
_cell_length_b 6.940
_cell_length_c 6.940
_cell_angle_alpha 90.00
_cell_angle_beta 90.00
_cell_angle_gamma 90.00
_space_group_name_H-M_alt 'F m -3 m'
_space_group_IT_number 225
_space_group_name_Hall '-F 4 2 3'
loop_
_atom_site_label
_atom_site_type_symbol
_atom_site_fract_x
_atom_site_fract_y
_atom_site_fract_z
_atom_site_occupancy
Si1 Si 0.000 0.000 0.000 1
Pb1 Pb 0.000 0.000 0.500 1
S1 S 0.250 0.250 0.250 1
```

ΔE to the lowest computed polymorph	2.226	eV/f.u.
ΔE_f (raw)	0.2180	eV/atom

---

Entry from the Alexandria database: a relaxed structure of ZrHgS2 (PBE-GGA).

CIF file:
```
data_ZrHgS2
_chemical_formula_sum 'Zr4 Hg4 S8'
_cell_length_a 4.136
_cell_length_b 21.148
_cell_length_c 4.561
_cell_angle_alpha 90.00
_cell_angle_beta 90.00
_cell_angle_gamma 90.00
_space_group_name_H-M_alt 'C m c m'
_space_group_IT_number 63
_space_group_name_Hall '-C 2c 2'
loop_
_atom_site_label
_atom_site_type_symbol
_atom_site_fract_x
_atom_site_fract_y
_atom_site_fract_z
_atom_site_occupancy
Zr1 Zr 0.000 0.090 0.250 1
Hg1 Hg 0.000 0.343 0.250 1
S1 S 0.000 0.040 0.750 1
S2 S 0.000 0.201 0.250 1
```

ΔE_f (raw)	-0.4625	eV/atom

---

Entry from the Alexandria database: a relaxed structure of RbBe3Cr (PBE-GGA).

CIF file:
```
data_RbBe3Cr
_chemical_formula_sum 'Rb1 Be3 Cr1'
_cell_length_a 5.268
_cell_length_b 5.268
_cell_length_c 5.268
_cell_angle_alpha 90.00
_cell_angle_beta 90.00
_cell_angle_gamma 90.00
_space_group_name_H-M_alt 'P m -3 m'
_space_group_IT_number 221
_space_group_name_Hall '-P 4 2 3'
loop_
_atom_site_label
_atom_site_type_symbol
_atom_site_fract_x
_atom_site_fract_y
_atom_site_fract_z
_atom_site_occupancy
Rb1 Rb 0.000 0.000 0.000 1
Be1 Be 0.000 0.000 0.500 1
Cr1 Cr 0.500 0.500 0.500 1
```

ΔE to the lowest computed polymorph	7.277	eV/f.u.
calculated formation energy	2686	meV per atom